Record 1
Here is crystalline MnTl2Si at its relaxed geometry from Alexandria via LeMat-Bulk. Energies are from PBE-GGA.

- M_tot: 6.79 μB/cell
- Calculated volume: 180.2 Å³ per cell
- Formation energy (no corrections): 0.43 eV per atom
- N(E_F): 4.63 states/eV/cell

a = 3.0984 Å, b = 4.8962 Å, c = 11.8761 Å
α = 90.00°, β = 90.00°, γ = 90.00°
Space group Imm2 (No. 44)
Symmetry-distinct sites (fractional):
Mn 0.0000 0.0000 0.0000 [2 per cell]
Tl 0.0000 0.0000 0.5341 [2 per cell]
Tl 0.0000 0.5000 0.7385 [2 per cell]
Si 0.0000 0.5000 0.3376 [2 per cell]



Record 2
Here is crystalline MnTl2Si at its relaxed geometry from Alexandria via LeMat-Bulk. Energies are from PBE-GGA.

- M_tot: 8.44 μB/cell
- Calculated volume: 177.0 Å³ per cell
- Formation energy (no corrections): 0.60 eV per atom
- N(E_F): 5.28 states/eV/cell

a = 4.4185 Å, b = 4.4185 Å, c = 9.0645 Å
α = 90.00°, β = 90.00°, γ = 90.00°
Space group I4/mmm (No. 139)
Symmetry-distinct sites (fractional):
Mn 0.0000 0.0000 0.0000 [2 per cell]
Tl 0.0000 0.5000 0.2500 [4 per cell]
Si 0.0000 0.0000 0.5000 [2 per cell]